# Tm2Mn12P7

A relaxed Tm2Mn12P7 crystal (PBE, Alexandria).

Structure (CIF):
```
data_Tm2Mn12P7
_chemical_formula_sum 'Tm2 Mn12 P7'
_cell_length_a 9.2611
_cell_length_b 9.2611
_cell_length_c 3.5849
_cell_angle_alpha 90.00
_cell_angle_beta 90.00
_cell_angle_gamma 120.00
_space_group_name_H-M_alt 'P -6'
_space_group_IT_number 174
loop_
_space_group_symop_operation_xyz
'x,y,z'
'-x+y,-x,-z'
'-y,x-y,z'
'x,y,-z'
'-x+y,-x,z'
'-y,x-y,-z'
loop_
_atom_site_label
_atom_site_fract_x
_atom_site_fract_y
_atom_site_fract_z
_atom_site_occupancy
Tm1 0.0000 0.0000 0.0000 1
Tm2 0.3333 0.6667 0.5000 1
Mn1 0.0609 0.7718 0.5000 1
Mn2 0.0912 0.3820 0.0000 1
Mn3 0.3899 0.2143 0.0000 1
Mn4 0.5423 0.1060 0.5000 1
P1 0.0794 0.6248 0.0000 1
P2 0.2574 0.0535 0.5000 1
P3 0.6667 0.3333 0.0000 1
```

ΔE_f = -708 meV/atom
Crystal system = hexagonal
Final energy = -8.18 eV per atom
Calculated volume = 12.68 Å³/atom


# TmMnP2

A relaxed TmMnP2 crystal (PBE, Alexandria).

Structure (CIF):
```
data_TmMnP2
_chemical_formula_sum 'Tm3 Mn3 P6'
_cell_length_a 3.8927
_cell_length_b 3.8927
_cell_length_c 13.9703
_cell_angle_alpha 90.00
_cell_angle_beta 90.00
_cell_angle_gamma 120.00
_space_group_name_H-M_alt 'R -3 m'
_space_group_IT_number 166
_space_group_name_Hall '-R 3 2"'
loop_
_atom_site_label
_atom_site_fract_x
_atom_site_fract_y
_atom_site_fract_z
_atom_site_occupancy
Tm1 0.0000 0.0000 0.0000 1
Mn1 0.0000 0.0000 0.5000 1
P1 0.0000 0.0000 0.2137 1
```

ΔE_f = -819 meV/atom
Crystal system = trigonal
Final energy = -6.93 eV per atom
Calculated volume = 15.28 Å³/atom